Below is a geometry-optimized Ce3AgHg4 structure, with properties calculated at the PBE level.

Results
Its total energy is -23.67 eV per formula unit. The calculation puts the density of states at the Fermi level at 18.15 states/eV per cell. The value obtained for the formation enthalpy at 0 K is -0.23 eV/atom. For the energy above the most stable polymorph in this dataset, the calculation gives 0.000 eV/f.u.

Unit cell a=4.7017 b=4.8028 c=9.5364 alpha=75.58 beta=104.27 gamma=90.00
With the nearest neighbours (Å) after each atom.
Element x y z (fractional)
Ce  0.0000  0.5000  0.0000  4 Hg 3.26, 4 Ce 3.27-3.29, 4 Ag 3.36
Ce  0.1252  0.8736  0.2505  8 Hg 3.24-3.36, 2 Ag 3.25, 2 Ce 3.27-3.29
Ce  0.8748  0.1264  0.7495  8 Hg 3.24-3.36, 2 Ag 3.25, 2 Ce 3.27-3.29
Ag  0.5000  0.0000  0.0000  8 Ce 3.25-3.36, 4 Hg 3.29-3.30
Hg  0.3736  0.6269  0.7471  4 Hg 3.19-3.30, 6 Ce 3.26-3.36, 2 Ag 3.29-3.30
Hg  0.6264  0.3731  0.2529  4 Hg 3.19-3.30, 6 Ce 3.26-3.36, 2 Ag 3.29-3.30
Hg  0.7526  0.7475  0.5053  8 Hg 3.19-3.36, 4 Ce 3.24-3.27
Hg  0.2474  0.2525  0.4947  8 Hg 3.19-3.36, 4 Ce 3.24-3.27